(1)
First-principles (PBE) data for a relaxed structure of CaTa, as listed in Alexandria.

Unit cell a=8.3561 b=8.3561 c=6.6129 alpha=70.66 beta=70.66 gamma=21.51
Positions (direct):
Ca  0.6887  0.6887  0.7319
Ca  0.6296  0.6296  0.2945
Ca  0.9763  0.9763  0.9871
Ta  0.9035  0.9035  0.5613
Ta  0.3150  0.3150  0.9296
Ta  0.3203  0.3203  0.3290

Output
symmetry: Cm (8)
energy above the lowest structure with this stoichiometry: 0.234 eV per atom
ΔE_f: 1.18 eV per formula unit


(2)
First-principles (PBE) data for a relaxed structure of TaCdCu3, as listed in Alexandria.

Unit cell a=4.8162 b=4.8162 c=4.8162 alpha=90.00 beta=90.00 gamma=90.00
Positions (direct):
Cd  0.5000  0.5000  0.5000
Ta  0.0000  0.0000  0.0000
Cu  0.5000  0.0000  0.0000
Cu  0.0000  0.0000  0.5000
Cu  0.0000  0.5000  0.0000

Output
symmetry: Pm-3m (221)
energy above the lowest structure with this stoichiometry: 0.000 eV per atom
ΔE_f: 6.52 eV per formula unit


(3)
First-principles (PBE) data for a relaxed structure of Zn3BiBr, as listed in Alexandria.

Unit cell a=5.5285 b=5.5285 c=5.5285 alpha=90.00 beta=90.00 gamma=90.00
Positions (direct):
Zn  0.0000  0.0000  0.5000
Zn  0.5000  0.0000  0.0000
Zn  0.0000  0.5000  0.0000
Bi  0.0000  0.0000  0.0000
Br  0.5000  0.5000  0.5000

Output
symmetry: Pm-3m (221)
formation energy without anion corrections: 200 meV per atom
energy above the lowest structure with this stoichiometry: 0.000 eV per atom


(4)
First-principles (PBE) data for a relaxed structure of PmCdAgRh, as listed in Alexandria.

Unit cell a=4.9048 b=4.9048 c=4.9048 alpha=60.00 beta=60.00 gamma=60.00
Positions (direct):
Ag  0.0000  0.0000  0.0000
Rh  0.5000  0.5000  0.5000
Pm  0.2500  0.2500  0.2500
Cd  0.7500  0.7500  0.7500

Output
symmetry: F-43m (216)
ΔE_f: -1.31 eV per formula unit


(5)
First-principles (PBE) data for a relaxed structure of RbBr6, as listed in Alexandria.

Unit cell a=7.4173 b=7.4173 c=7.4173 alpha=109.47 beta=109.47 gamma=109.47
Positions (direct):
Br  0.7500  0.5000  0.2500
Br  0.2500  0.7500  0.5000
Br  0.2500  0.5000  0.7500
Br  0.5000  0.7500  0.2500
Br  0.7500  0.2500  0.5000
Br  0.5000  0.2500  0.7500
Rb  0.0000  0.0000  0.0000

Output
symmetry: Im-3m (229)
formation energy without anion corrections: 7 meV per atom


(6)
First-principles (PBE) data for a relaxed structure of Pa2ReAg, as listed in Alexandria.

Unit cell a=4.9807 b=4.9807 c=4.9807 alpha=60.00 beta=60.00 gamma=60.00
Positions (direct):
Ag  0.5000  0.5000  0.5000
Pa  0.7500  0.7500  0.7500
Pa  0.2500  0.2500  0.2500
Re  0.0000  0.0000  0.0000

Output
symmetry: Fm-3m (225)
energy above the lowest structure with this stoichiometry: 0.163 eV per atom
ΔE_f: 0.78 eV per formula unit


Magnetization? In order: 0.000; 0.000; 0.000; 0.000; 0.000; 0.005 μB per atom.
DOS at the Fermi energy? In order: 6.6; 3.3; 1.2; 2.5; 8.1; 6.4 states/eV per cell.
Total DFT energy (no corrections)? In order: -38.0; -18.5; -8.4; -17.2; -11.0; -33.5 eV per cell.